{
  "formula": "MgTl3Zn2F9",
  "functional": "PBE",
  "state": "relaxed",
  "cell": [[5.913, 0.000, 0.000], [-2.956, 5.120, 0.000], [0.000, 0.000, 7.242]],
  "species": ["Mg", "Tl", "Tl", "Tl", "Zn", "Zn", "F", "F", "F", "F", "F", "F", "F", "F", "F"],
  "frac_coords": [[0.000, 0.000, 0.000], [0.000, 0.000, 0.500], [0.333, 0.667, 0.171], [0.667, 0.333, 0.829], [0.333, 0.667, 0.672], [0.667, 0.333, 0.328], [0.000, 0.500, 0.500], [0.165, 0.329, 0.836], [0.165, 0.835, 0.836], [0.329, 0.165, 0.164], [0.500, 0.000, 0.500], [0.500, 0.500, 0.500], [0.671, 0.835, 0.836], [0.835, 0.165, 0.164], [0.835, 0.671, 0.164]],
  "raw_formation_energy_ev_per_fu": -35.29,
  "crystal_system": "trigonal"
}

***

{
  "formula": "MgTl2ZnF6",
  "functional": "PBE",
  "state": "relaxed",
  "cell": [[0.000, 4.171, 4.171], [4.171, 0.000, 4.171], [4.171, 4.171, 0.000]],
  "species": ["Mg", "Tl", "Tl", "Zn", "F", "F", "F", "F", "F", "F"],
  "frac_coords": [[0.000, 0.000, 0.000], [0.250, 0.250, 0.250], [0.750, 0.750, 0.750], [0.500, 0.500, 0.500], [0.247, 0.247, 0.753], [0.247, 0.753, 0.247], [0.247, 0.753, 0.753], [0.753, 0.247, 0.247], [0.753, 0.247, 0.753], [0.753, 0.753, 0.247]],
  "raw_formation_energy_ev_per_fu": -24.72,
  "crystal_system": "cubic"
}

***

{
  "formula": "MgTlZn2F8",
  "functional": "PBE",
  "state": "relaxed",
  "cell": [[3.438, -3.523, 0.000], [3.438, 3.523, 0.000], [0.000, 0.000, 6.725]],
  "species": ["Mg", "Tl", "Zn", "Zn", "F", "F", "F", "F", "F", "F", "F", "F"],
  "frac_coords": [[0.000, 0.000, 0.000], [0.000, 0.000, 0.500], [0.500, 0.500, 0.233], [0.500, 0.500, 0.767], [0.206, 0.206, 0.213], [0.206, 0.206, 0.787], [0.297, 0.703, 0.000], [0.330, 0.670, 0.500], [0.670, 0.330, 0.500], [0.703, 0.297, 0.000], [0.794, 0.794, 0.213], [0.794, 0.794, 0.787]],
  "raw_formation_energy_ev_per_fu": -29.07,
  "crystal_system": "orthorhombic"
}

***

{
  "formula": "Mg2Tl3ZnF9",
  "functional": "PBE",
  "state": "relaxed",
  "cell": [[5.884, 0.000, 0.000], [-2.942, 5.096, 0.000], [0.000, 0.000, 7.210]],
  "species": ["Mg", "Mg", "Tl", "Tl", "Tl", "Zn", "F", "F", "F", "F", "F", "F", "F", "F", "F"],
  "frac_coords": [[0.333, 0.667, 0.162], [0.667, 0.333, 0.838], [0.000, 0.000, 0.000], [0.333, 0.667, 0.663], [0.667, 0.333, 0.337], [0.000, 0.000, 0.500], [0.000, 0.500, 0.000], [0.169, 0.337, 0.330], [0.169, 0.831, 0.330], [0.337, 0.169, 0.670], [0.500, 0.000, 0.000], [0.500, 0.500, 0.000], [0.663, 0.831, 0.330], [0.831, 0.169, 0.670], [0.831, 0.663, 0.670]],
  "raw_formation_energy_ev_per_fu": -38.88,
  "crystal_system": "trigonal"
}

***

{
  "formula": "MgZrTlF2",
  "functional": "PBE",
  "state": "relaxed",
  "cell": [[4.610, 0.000, 0.000], [0.000, 4.610, 0.000], [0.000, 0.000, 5.827]],
  "species": ["Mg", "Zr", "Tl", "F", "F"],
  "frac_coords": [[0.000, 0.000, 0.000], [0.500, 0.500, 0.000], [0.000, 0.000, 0.500], [0.000, 0.500, 0.500], [0.500, 0.000, 0.500]],
  "raw_formation_energy_ev_per_fu": -1.55,
  "crystal_system": "tetragonal"
}

***

{
  "formula": "TmMgF4",
  "functional": "PBE",
  "state": "relaxed",
  "cell": [[3.595, 0.000, 0.000], [0.000, 3.548, 0.000], [-0.044, 0.000, 5.618]],
  "species": ["Tm", "Mg", "F", "F", "F", "F"],
  "frac_coords": [[0.000, 0.000, 0.000], [0.500, 0.500, 0.500], [0.004, 0.500, 0.280], [0.496, 0.000, 0.723], [0.504, 0.000, 0.277], [0.996, 0.500, 0.720]],
  "raw_formation_energy_ev_per_fu": -20.10,
  "crystal_system": "monoclinic"
}

***

{
  "formula": "Tm2MgF8",
  "functional": "PBE",
  "state": "relaxed",
  "cell": [[7.946, -1.657, 0.000], [7.946, 1.657, 0.000], [-0.314, 0.000, 5.733]],
  "species": ["Tm", "Tm", "Mg", "F", "F", "F", "F", "F", "F", "F", "F"],
  "frac_coords": [[0.154, 0.154, 0.342], [0.846, 0.846, 0.658], [0.500, 0.500, 0.000], [0.017, 0.017, 0.215], [0.244, 0.244, 0.670], [0.374, 0.374, 0.932], [0.391, 0.391, 0.466], [0.609, 0.609, 0.534], [0.626, 0.626, 0.068], [0.756, 0.756, 0.330], [0.983, 0.983, 0.785]],
  "raw_formation_energy_ev_per_fu": -42.89,
  "crystal_system": "monoclinic",
  "relative_energy_mev_per_atom": 82.8
}

***

{
  "formula": "Tm2MgF",
  "functional": "PBE",
  "state": "relaxed",
  "cell": [[1.630, 0.941, 10.123], [-1.630, 0.941, 10.123], [0.000, -1.882, 10.123]],
  "species": ["Tm", "Tm", "Mg", "F"],
  "frac_coords": [[0.106, 0.106, 0.106], [0.894, 0.894, 0.894], [0.000, 0.000, 0.000], [0.500, 0.500, 0.500]],
  "raw_formation_energy_ev_per_fu": -3.23,
  "crystal_system": "trigonal"
}

***

{
  "formula": "TmMgF",
  "functional": "PBE",
  "state": "relaxed",
  "cell": [[3.421, 0.000, 0.000], [-1.711, 2.963, 0.000], [0.000, 0.000, 12.478]],
  "species": ["Tm", "Tm", "Mg", "Mg", "F", "F"],
  "frac_coords": [[0.000, 0.000, 0.210], [0.000, 0.000, 0.790], [0.333, 0.667, 0.500], [0.667, 0.333, 0.000], [0.333, 0.667, 0.324], [0.333, 0.667, 0.676]],
  "raw_formation_energy_ev_per_fu": -4.50,
  "crystal_system": "hexagonal"
}

***

{
  "formula": "Tm2MgF8",
  "functional": "PBE",
  "state": "relaxed",
  "cell": [[4.636, -3.468, 0.000], [4.636, 3.468, 0.000], [-1.435, 0.000, 4.431]],
  "species": ["Tm", "Tm", "Mg", "F", "F", "F", "F", "F", "F", "F", "F"],
  "frac_coords": [[0.176, 0.176, 0.394], [0.824, 0.824, 0.606], [0.500, 0.500, 0.000], [0.077, 0.077, 0.787], [0.162, 0.547, 0.731], [0.363, 0.363, 0.234], [0.453, 0.838, 0.269], [0.547, 0.162, 0.731], [0.637, 0.637, 0.766], [0.838, 0.453, 0.269], [0.923, 0.923, 0.213]],
  "raw_formation_energy_ev_per_fu": -43.80,
  "crystal_system": "monoclinic",
  "relative_energy_mev_per_atom": 0.0
}

***

{
  "formula": "MgU2F8",
  "functional": "PBE",
  "state": "relaxed",
  "cell": [[6.737, -2.118, 0.000], [6.737, 2.118, 0.000], [-0.372, 0.000, 7.258]],
  "species": ["Mg", "U", "U", "F", "F", "F", "F", "F", "F", "F", "F"],
  "frac_coords": [[0.000, 0.000, 0.000], [0.018, 0.501, 0.252], [0.499, 0.982, 0.748], [0.023, 0.505, 0.905], [0.135, 0.713, 0.177], [0.287, 0.865, 0.823], [0.495, 0.977, 0.095], [0.555, 0.041, 0.435], [0.671, 0.143, 0.849], [0.857, 0.329, 0.151], [0.959, 0.445, 0.565]],
  "raw_formation_energy_ev_per_fu": -36.80,
  "crystal_system": "monoclinic"
}